Computed, not measured: a relaxed CsAl3N crystal at the PBE-GGA level of DFT.

The structure in CIF format:
```
data_CsAl3N
_cell_length_a 4.775
_cell_length_b 4.775
_cell_length_c 4.775
_cell_angle_alpha 90.00
_cell_angle_beta 90.00
_cell_angle_gamma 90.00
_symmetry_space_group_name_H-M 'P m -3 m'
_symmetry_Int_Tables_number 221
_symmetry_space_group_name_Hall '-P 4 2 3'
loop_
_atom_site_label
_atom_site_type_symbol
_atom_site_fract_x
_atom_site_fract_y
_atom_site_fract_z
_atom_site_occupancy
Cs1 Cs 0.000 0.000 0.000 1
Al1 Al 0.000 0.500 0.500 1
N1 N 0.500 0.500 0.500 1
```

Values from the calculation:
- Excess energy over the best structure of this formula in the dataset: 0.000 eV/atom
- Formation energy without anion corrections: 4.8 eV/f.u.
- Magnetic moment: 0.0 μB/f.u.
- Energy: -3.122 eV/atom

=====

Computed, not measured: a relaxed TaNb4V crystal at the PBE-GGA level of DFT.

The structure in CIF format:
```
data_TaNb4V
_cell_length_a 8.000
_cell_length_b 4.638
_cell_length_c 5.675
_cell_angle_alpha 90.00
_cell_angle_beta 90.25
_cell_angle_gamma 90.00
_symmetry_space_group_name_H-M 'C 1 2/m 1'
_symmetry_Int_Tables_number 12
loop_
_symmetry_equiv_pos_as_xyz
'x,y,z'
'-x,-y,-z'
'-x,y,-z'
'x,-y,z'
'x+1/2,y+1/2,z'
'-x+1/2,-y+1/2,-z'
'-x+1/2,y+1/2,-z'
'x+1/2,-y+1/2,z'
loop_
_atom_site_label
_atom_site_type_symbol
_atom_site_fract_x
_atom_site_fract_y
_atom_site_fract_z
_atom_site_occupancy
Ta1 Ta 0.000 0.000 0.000 1
Nb1 Nb 0.166 0.500 0.824 1
Nb2 Nb 0.167 0.500 0.332 1
V1 V 0.000 0.000 0.500 1
```

Values from the calculation:
- Excess energy over the best structure of this formula in the dataset: 0.009 eV/atom
- Formation enthalpy at 0 K: 21 meV/atom
- Magnetic moment: 0.0 μB/f.u.
- Energy: -10.187 eV/atom

=====

Computed, not measured: a relaxed BaZnTe3 crystal at the PBE-GGA level of DFT.

The structure in CIF format:
```
data_BaZnTe3
_cell_length_a 5.492
_cell_length_b 5.492
_cell_length_c 5.492
_cell_angle_alpha 90.00
_cell_angle_beta 90.00
_cell_angle_gamma 90.00
_symmetry_space_group_name_H-M 'P m -3 m'
_symmetry_Int_Tables_number 221
_symmetry_space_group_name_Hall '-P 4 2 3'
loop_
_atom_site_label
_atom_site_type_symbol
_atom_site_fract_x
_atom_site_fract_y
_atom_site_fract_z
_atom_site_occupancy
Ba1 Ba 0.000 0.000 0.000 1
Zn1 Zn 0.500 0.500 0.500 1
Te1 Te 0.000 0.500 0.500 1
```

Values from the calculation:
- Excess energy over the best structure of this formula in the dataset: 0.000 eV/atom
- Formation energy without anion corrections: -2.9 eV/f.u.
- Magnetic moment: 0.0 μB/f.u.
- Energy: -3.099 eV/atom

=====

Computed, not measured: a relaxed Ta2WN crystal at the PBE-GGA level of DFT.

The structure in CIF format:
```
data_Ta2WN
_cell_length_a 7.380
_cell_length_b 7.380
_cell_length_c 4.490
_cell_angle_alpha 90.00
_cell_angle_beta 90.00
_cell_angle_gamma 90.00
_symmetry_space_group_name_H-M 'I -4 2 d'
_symmetry_Int_Tables_number 122
_symmetry_space_group_name_Hall 'I -4 2bw'
loop_
_atom_site_label
_atom_site_type_symbol
_atom_site_fract_x
_atom_site_fract_y
_atom_site_fract_z
_atom_site_occupancy
Ta1 Ta 0.126 0.250 0.125 1
W1 W 0.000 0.000 0.500 1
N1 N 0.000 0.000 0.000 1
```

Values from the calculation:
- Formation energy without anion corrections: -0.2 eV/f.u.
- Magnetic moment: 0.0 μB/f.u.
- Energy: -11.306 eV/atom

=====

> Which of these has the lowest energy?

Ta2WN